(1)
# HfAlOs2

HfAlOs2 after structural relaxation (PBE, Alexandria).

Results
* energy of formation: -0.525 eV per atom
* DOS(E_F): 3.78 states/eV per cell
* mass density: 15.6 g cm⁻³
* VASP energy: -9.56 eV per atom

Lattice parameters (Å, degrees): 3.178 3.178 6.170 90.00 90.00 90.00
Space group P4/mmm (No. 123)
Asymmetric unit:
Hf: 0.000 0.000 0.000 (multiplicity 1)
Al: 0.000 0.000 0.500 (multiplicity 1)
Os: 0.500 0.500 0.266 (multiplicity 2)

(2)
# Ba2LaHg

Ba2LaHg after structural relaxation (PBE, Alexandria).

Results
* energy of formation: -0.200 eV per atom
* DOS(E_F): 6.24 states/eV per cell
* mass density: 5.8 g cm⁻³
* VASP energy: -2.47 eV per atom

Lattice parameters (Å, degrees): 4.129 4.129 10.345 90.00 90.00 90.00
Space group P4mm (No. 99)
Asymmetric unit:
Ba: 0.000 0.000 0.000 (multiplicity 1)
Ba: 0.500 0.500 0.351 (multiplicity 1)
La: 0.500 0.500 0.718 (multiplicity 1)
Hg: 0.000 0.000 0.565 (multiplicity 1)

Question: DOS(E_F) of number 1 (HfAlOs2)?
Answer: 3.78 states/eV per cell